<w>
The following is a PBE-GGA calculation of an optimized crystal structure of MnCuPd3, from Alexandria. Values from VASP.

```
&SYSTEM
  ibrav = 0, nat = 5, ntyp = 3
/
ATOMIC_SPECIES
Cu 63.55 Cu.upf
Pd 106.42 Pd.upf
Mn 54.94 Mn.upf
ATOMIC_POSITIONS crystal
Cu 0.5000 0.5000 0.5000
Pd 0.0000 0.5000 0.0000
Pd 0.0000 0.0000 0.5000
Pd 0.5000 0.0000 0.0000
Mn 0.0000 0.0000 0.0000
CELL_PARAMETERS angstrom
4.6210 0.0000 0.0000
0.0000 4.6210 0.0000
0.0000 0.0000 4.6210
```

=====

<x>
The following is a PBE-GGA calculation of an optimized crystal structure of MnCuPd3, from Alexandria. Values from VASP.

```
&SYSTEM
  ibrav = 0, nat = 10, ntyp = 3
/
ATOMIC_SPECIES
Cu 63.55 Cu.upf
Pd 106.42 Pd.upf
Mn 54.94 Mn.upf
ATOMIC_POSITIONS crystal
Cu 0.6007 0.7612 0.2014
Cu 0.3993 0.2388 0.7986
Pd 0.8559 0.9345 0.8191
Pd 0.1441 0.0655 0.1809
Pd 0.7866 0.1864 0.5143
Pd 0.0467 0.3999 0.1111
Pd 0.2134 0.8136 0.4857
Pd 0.9533 0.6001 0.8889
Mn 0.3180 0.5592 0.6085
Mn 0.6820 0.4408 0.3915
CELL_PARAMETERS angstrom
-0.8789 -2.5744 0.6744
4.1220 -2.5578 -5.2140
2.9134 2.1574 7.9084
```

=====

<y>
The following is a PBE-GGA calculation of an optimized crystal structure of MnCuPd3, from Alexandria. Values from VASP.

```
&SYSTEM
  ibrav = 0, nat = 5, ntyp = 3
/
ATOMIC_SPECIES
Pd 106.42 Pd.upf
Cu 63.55 Cu.upf
Mn 54.94 Mn.upf
ATOMIC_POSITIONS crystal
Pd 0.0000 0.5000 0.0000
Pd 0.0000 0.0000 0.5000
Pd 0.5000 0.0000 0.0000
Cu 0.0000 0.0000 0.0000
Mn 0.5000 0.5000 0.5000
CELL_PARAMETERS angstrom
-1.6286 -0.2196 -4.2648
4.0125 -1.6409 -1.4477
-1.4616 -4.2601 0.7775
```

=====

Quick ranking, most stable first: <x>, <y>, <w>.